No. 1
Entry from Alexandria via LeMat-Bulk: a geometry-optimized Ta2SbMo structure (GGA-PBE).

abc: 5.291 5.291 5.291
angles: 135.08 135.08 65.41
Atoms (fractional coordinates):
Ta 0.000 0.000 0.000
Ta 0.750 0.250 0.500
Sb 0.500 0.500 0.000
Mo 0.250 0.750 0.500

Space-group type: I-4m2 (119)
E_tot, eV per formula unit: -38.1
Energy relative to the elements, uncorrected, eV/f.u.: 0.528
Crystal system: tetragonal

No. 2
Entry from Alexandria via LeMat-Bulk: a geometry-optimized Nd2ScZn3Pd4 structure (GGA-PBE).

abc: 4.146 4.146 11.573
angles: 90.00 90.00 90.00
Atoms (fractional coordinates):
Nd 0.000 0.500 0.233
Nd 0.500 0.000 0.767
Sc 0.000 0.000 0.500
Zn 0.000 0.500 0.871
Zn 0.500 0.000 0.129
Zn 0.500 0.500 0.500
Pd 0.000 0.000 0.000
Pd 0.000 0.500 0.650
Pd 0.500 0.000 0.350
Pd 0.500 0.500 0.000

Formation enthalpy at 0 K, kJ/mol of atoms: -62.54
Space-group type: P-4m2 (115)
E_tot, eV per formula unit: -46.9
Crystal system: tetragonal

No. 3
Entry from Alexandria via LeMat-Bulk: a geometry-optimized MgAl2Pd9 structure (GGA-PBE).

abc: 3.935 3.935 11.726
angles: 90.00 90.00 90.00
Atoms (fractional coordinates):
Mg 0.000 0.000 0.000
Al 0.000 0.000 0.334
Al 0.000 0.000 0.666
Pd 0.000 0.500 0.173
Pd 0.000 0.500 0.500
Pd 0.000 0.500 0.827
Pd 0.500 0.000 0.173
Pd 0.500 0.000 0.500
Pd 0.500 0.000 0.827
Pd 0.500 0.500 0.000
Pd 0.500 0.500 0.337
Pd 0.500 0.500 0.663

Formation enthalpy at 0 K, kJ/mol of atoms: -53.75
Space-group type: P4/mmm (123)
E_tot, eV per formula unit: -62.5
Crystal system: tetragonal

No. 4
Entry from Alexandria via LeMat-Bulk: a geometry-optimized Rb2CaThS4 structure (GGA-PBE).

abc: 7.256 4.250 8.057
angles: 90.00 107.72 90.00
Atoms (fractional coordinates):
Rb 0.000 0.000 0.000
Rb 0.500 0.500 0.000
Ca 0.000 0.500 0.500
Th 0.500 0.000 0.500
S 0.243 0.000 0.693
S 0.277 0.500 0.304
S 0.723 0.500 0.696
S 0.757 0.000 0.307

Space-group type: P2/m (10)
E_tot, eV per formula unit: -42.2
Energy relative to the elements, uncorrected, eV/f.u.: -14.343
Crystal system: monoclinic

No. 5
Entry from Alexandria via LeMat-Bulk: a geometry-optimized TlMoPb2 structure (GGA-PBE).

abc: 5.800 5.800 5.800
angles: 133.12 133.12 68.46
Atoms (fractional coordinates):
Tl 0.000 0.000 0.000
Mo 0.250 0.750 0.500
Pb 0.500 0.500 0.000
Pb 0.750 0.250 0.500

Formation enthalpy at 0 K, kJ/mol of atoms: 74.34
Space-group type: I-4m2 (119)
E_tot, eV per formula unit: -17.5
Crystal system: tetragonal
E above lowest polymorph, meV per atom: 309

No. 6
Entry from Alexandria via LeMat-Bulk: a geometry-optimized HoGa4CoRu2 structure (GGA-PBE).

abc: 8.645 8.645 8.645
angles: 28.20 28.20 28.20
Atoms (fractional coordinates):
Ho 0.000 0.000 0.000
Ga 0.133 0.133 0.133
Ga 0.401 0.401 0.401
Ga 0.599 0.599 0.599
Ga 0.867 0.867 0.867
Co 0.500 0.500 0.500
Ru 0.238 0.238 0.238
Ru 0.762 0.762 0.762

Formation enthalpy at 0 K, kJ/mol of atoms: -38.38
Space-group type: R-3m (166)
E_tot, eV per formula unit: -45.5
Crystal system: trigonal

Question: E_tot of number 2 (Nd2ScZn3Pd4)?
Answer: -46.9 eV per formula unit